# CsMnBr2F (PBE+U, optimized geometry)
data_CsMnBr2F
_chemical_formula_sum 'Cs1 Mn1 Br2 F1'
_symmetry_space_group_name_H-M 'P 1'
_symmetry_Int_Tables_number 1
_symmetry_space_group_name_Hall 'P 1'
_cell_length_a 5.330
_cell_length_b 5.330
_cell_length_c 5.320
_cell_angle_alpha 90.00
_cell_angle_beta 90.00
_cell_angle_gamma 90.00
loop_
_atom_site_label
_atom_site_fract_x
_atom_site_fract_y
_atom_site_fract_z
_atom_site_occupancy
Cs1 0.000 0.000 0.000 1
Mn1 0.500 0.500 0.589 1
Br1 0.000 0.500 0.487 1
Br2 0.500 0.000 0.487 1
F1 0.500 0.500 0.956 1
# - SG = P4mm
# - N(E_F) (states/eV per atom) = 0.000
# - crystal system = tetragonal
# - distance to the lowest polymorph of the same formula (meV/atom) = 40.5
# - mass density (g/cm³) = 4.0